1.
YGaRe | GGA-PBE | optimized geometry

a b c (Å): 4.069 3.104 9.912
angles (deg): 80.99 90.00 90.00
Positions (direct):
Y 0.250 0.119 0.762
Y 0.750 0.881 0.238
Ga 0.250 0.463 0.074
Ga 0.750 0.537 0.926
Re 0.750 0.736 0.527
Re 0.250 0.264 0.473

Computed properties:
The energy relative to the elements is -38.9 meV/atom. The calculation puts the total DFT energy (no corrections) at -7.35 eV/atom. The total magnetic moment is 0.000 μB/cell.

***

2.
Y3GaRe | GGA-PBE | optimized geometry

a b c (Å): 5.369 5.369 5.369
angles (deg): 90.00 90.00 90.00
Positions (direct):
Y 0.000 0.500 0.000
Y 0.000 0.000 0.500
Y 0.500 0.000 0.000
Re 0.000 0.000 0.000
Ga 0.500 0.500 0.500

Computed properties:
Its relative energy among the computed polymorphs is 0.000 eV per formula unit. The energy relative to the elements is 309.3 meV/atom. The calculation puts the total DFT energy (no corrections) at -6.66 eV/atom. The total magnetic moment is 0.000 μB/cell.

***

3.
Y2GaRe | GGA-PBE | optimized geometry

a b c (Å): 7.935 7.935 6.333
angles (deg): 51.21 51.21 90.00
Positions (direct):
Y 0.650 0.125 0.250
Y 0.100 0.625 0.250
Y 0.375 0.350 0.750
Y 0.875 0.900 0.750
Re 0.000 0.000 0.000
Re 0.750 0.250 0.500
Ga 0.500 0.500 0.000
Ga 0.250 0.750 0.500

Computed properties:
The energy relative to the elements is 419.2 meV/atom. The calculation puts the total DFT energy (no corrections) at -6.68 eV/atom. The total magnetic moment is 0.000 μB/cell.

***

4.
YGa3Re | GGA-PBE | optimized geometry

a b c (Å): 4.791 4.791 4.791
angles (deg): 90.00 90.00 90.00
Positions (direct):
Y 0.500 0.500 0.500
Re 0.000 0.000 0.000
Ga 0.000 0.500 0.000
Ga 0.000 0.000 0.500
Ga 0.500 0.000 0.000

Computed properties:
Its relative energy among the computed polymorphs is 0.000 eV per formula unit. The energy relative to the elements is -69.7 meV/atom. The calculation puts the total DFT energy (no corrections) at -5.67 eV/atom. The total magnetic moment is 0.000 μB/cell.

***

5.
Zn2Ga2Re | GGA-PBE | optimized geometry

a b c (Å): 6.730 6.730 3.435
angles (deg): 90.00 90.00 90.00
Positions (direct):
Re 0.000 0.000 0.000
Re 0.500 0.500 0.000
Zn 0.158 0.658 0.500
Zn 0.658 0.842 0.500
Zn 0.842 0.342 0.500
Zn 0.342 0.158 0.500
Ga 0.356 0.856 0.000
Ga 0.856 0.644 0.000
Ga 0.644 0.144 0.000
Ga 0.144 0.356 0.000

Computed properties:
Its relative energy among the computed polymorphs is 0.000 eV per formula unit. The energy relative to the elements is 337.9 meV/atom. The calculation puts the total DFT energy (no corrections) at -3.87 eV/atom. The total magnetic moment is 0.000 μB/cell.

***

6.
Zn2GaRe | GGA-PBE | optimized geometry

a b c (Å): 7.017 7.017 5.582
angles (deg): 51.06 51.06 90.00
Positions (direct):
Re 0.000 0.000 0.000
Re 0.750 0.250 0.500
Zn 0.618 0.125 0.250
Zn 0.132 0.625 0.250
Zn 0.375 0.382 0.750
Zn 0.875 0.868 0.750
Ga 0.500 0.500 0.000
Ga 0.250 0.750 0.500

Computed properties:
The energy relative to the elements is 479.0 meV/atom. The calculation puts the total DFT energy (no corrections) at -4.03 eV/atom. The total magnetic moment is 0.000 μB/cell.

***

7.
Zn3GaRe | GGA-PBE | optimized geometry

a b c (Å): 4.589 4.589 4.589
angles (deg): 90.00 90.00 90.00
Site moments in Bohr magnetons follow the coordinates.
Positions (direct):
Re 0.500 0.500 0.500  2.85
Zn 0.000 0.500 0.000  -0.02
Zn 0.000 0.000 0.500  -0.01
Zn 0.500 0.000 0.000  -0.01
Ga 0.000 0.000 0.000  0.08

Computed properties:
Its relative energy among the computed polymorphs is 2.117 eV per formula unit. The energy relative to the elements is 1312.3 meV/atom. The calculation puts the total DFT energy (no corrections) at -2.55 eV/atom. The total magnetic moment is 3.266 μB/cell.

***

8.
ZnGaRe2 | GGA-PBE | optimized geometry

a b c (Å): 4.331 4.331 4.331
angles (deg): 60.00 60.00 60.00
Positions (direct):
Re 0.250 0.250 0.250
Re 0.750 0.750 0.750
Zn 0.000 0.000 0.000
Ga 0.500 0.500 0.500

Computed properties:
Its relative energy among the computed polymorphs is 0.000 eV per formula unit. The energy relative to the elements is 453.3 meV/atom. The calculation puts the total DFT energy (no corrections) at -6.85 eV/atom. The total magnetic moment is 0.000 μB/cell.

***

9.
ZnGaRe | GGA-PBE | optimized geometry

a b c (Å): 3.186 3.186 8.688
angles (deg): 90.00 90.00 90.00
Positions (direct):
Re 0.000 0.500 0.591
Re 0.500 0.000 0.409
Ga 0.000 0.500 0.248
Ga 0.500 0.000 0.752
Zn 0.500 0.000 0.078
Zn 0.000 0.500 0.922

Computed properties:
The energy relative to the elements is 74.5 meV/atom. The calculation puts the total DFT energy (no corrections) at -5.51 eV/atom. The total magnetic moment is 0.000 μB/cell.

***

10.
Zn2Ga2Re | GGA-PBE | optimized geometry

a b c (Å): 3.504 3.504 7.117
angles (deg): 75.75 75.75 90.00
Positions (direct):
Re 0.000 0.000 0.000
Zn 0.410 0.410 0.181
Zn 0.590 0.590 0.819
Ga 0.750 0.250 0.500
Ga 0.250 0.750 0.500

Computed properties:
Its relative energy among the computed polymorphs is 1.410 eV per formula unit. The energy relative to the elements is 620.0 meV/atom. The calculation puts the total DFT energy (no corrections) at -3.59 eV/atom. The total magnetic moment is 0.000 μB/cell.

***

11.
ZnGaRe2 | GGA-PBE | optimized geometry

a b c (Å): 7.010 7.010 5.600
angles (deg): 51.25 51.25 90.00
Positions (direct):
Re 0.643 0.125 0.250
Re 0.107 0.625 0.250
Re 0.375 0.357 0.750
Re 0.875 0.893 0.750
Zn 0.500 0.500 0.000
Zn 0.250 0.750 0.500
Ga 0.000 0.000 0.000
Ga 0.750 0.250 0.500

Computed properties:
Its relative energy among the computed polymorphs is 1.630 eV per formula unit. The energy relative to the elements is 860.7 meV/atom. The calculation puts the total DFT energy (no corrections) at -6.44 eV/atom. The total magnetic moment is 0.000 μB/cell.

***

12.
ZnGa4Re | GGA-PBE | optimized geometry

a b c (Å): 5.438 6.740 5.859
angles (deg): 90.00 90.00 90.00
Positions (direct):
Zn 0.000 0.000 0.000
Zn 0.500 0.000 0.500
Ga 0.258 0.278 0.259
Ga 0.258 0.722 0.741
Ga 0.742 0.278 0.741
Ga 0.742 0.722 0.259
Ga 0.742 0.722 0.741
Ga 0.742 0.278 0.259
Ga 0.258 0.722 0.259
Ga 0.258 0.278 0.741
Re 0.000 0.500 0.000
Re 0.000 0.000 0.500

Computed properties:
The energy relative to the elements is 100.4 meV/atom. The calculation puts the total DFT energy (no corrections) at -4.20 eV/atom. The total magnetic moment is 0.000 μB/cell.

***

13.
Zn3GaRe | GGA-PBE | optimized geometry

a b c (Å): 4.884 4.884 4.884
angles (deg): 90.00 90.00 90.00
Positions (direct):
Re 0.000 0.000 0.000
Zn 0.000 0.500 0.000
Zn 0.000 0.000 0.500
Zn 0.500 0.000 0.000
Ga 0.500 0.500 0.500

Computed properties:
Its relative energy among the computed polymorphs is 0.000 eV per formula unit. The energy relative to the elements is 888.8 meV/atom. The calculation puts the total DFT energy (no corrections) at -2.97 eV/atom. The total magnetic moment is 0.002 μB/cell.

***

14.
Zn2Ga2Re | GGA-PBE | optimized geometry

a b c (Å): 6.767 6.767 3.340
angles (deg): 90.00 90.00 90.00
Positions (direct):
Re 0.000 0.000 0.000
Re 0.500 0.500 0.000
Zn 0.371 0.871 0.000
Zn 0.871 0.629 0.000
Zn 0.629 0.129 0.000
Zn 0.129 0.371 0.000
Ga 0.175 0.675 0.500
Ga 0.675 0.825 0.500
Ga 0.825 0.325 0.500
Ga 0.325 0.175 0.500

Computed properties:
Its relative energy among the computed polymorphs is 0.413 eV per formula unit. The energy relative to the elements is 420.4 meV/atom. The calculation puts the total DFT energy (no corrections) at -3.79 eV/atom. The total magnetic moment is 0.000 μB/cell.

***

15.
ZrGaRe3 | GGA-PBE | optimized geometry

a b c (Å): 4.837 4.837 4.837
angles (deg): 90.00 90.00 90.00
Site moments in Bohr magnetons follow the coordinates.
Positions (direct):
Re 0.000 0.500 0.000  0.88
Re 0.000 0.000 0.500  0.92
Re 0.500 0.000 0.000  1.03
Ga 0.500 0.500 0.500  0.02
Zr 0.000 0.000 0.000  -0.07

Computed properties:
Its relative energy among the computed polymorphs is 6.517 eV per formula unit. The energy relative to the elements is 2610.3 meV/atom. The calculation puts the total DFT energy (no corrections) at -7.17 eV/atom. The total magnetic moment is 3.110 μB/cell.

***

16.
Zr3GaRe | GGA-PBE | optimized geometry

a b c (Å): 4.884 4.884 4.884
angles (deg): 90.00 90.00 90.00
Positions (direct):
Re 0.500 0.500 0.500
Ga 0.000 0.000 0.000
Zr 0.000 0.500 0.000
Zr 0.000 0.000 0.500
Zr 0.500 0.000 0.000

Computed properties:
The energy relative to the elements is 1013.7 meV/atom. The calculation puts the total DFT energy (no corrections) at -7.21 eV/atom. The total magnetic moment is 0.000 μB/cell.

***

17.
Zr4Ga2Re | GGA-PBE | optimized geometry

a b c (Å): 5.062 5.062 7.692
angles (deg): 70.79 70.79 90.00
Positions (direct):
Re 0.000 0.000 0.000
Ga 0.386 0.386 0.227
Ga 0.614 0.614 0.773
Zr 0.187 0.187 0.626
Zr 0.813 0.813 0.374
Zr 0.000 0.500 0.000
Zr 0.500 0.000 0.000

Computed properties:
The energy relative to the elements is 378.4 meV/atom. The calculation puts the total DFT energy (no corrections) at -7.15 eV/atom. The total magnetic moment is 0.000 μB/cell.

***

18.
Zr2Ga2Re | GGA-PBE | optimized geometry

a b c (Å): 6.895 6.895 3.738
angles (deg): 90.00 90.00 90.00
Positions (direct):
Re 0.000 0.000 0.000
Re 0.500 0.500 0.000
Ga 0.372 0.872 0.000
Ga 0.872 0.628 0.000
Ga 0.628 0.128 0.000
Ga 0.128 0.372 0.000
Zr 0.177 0.677 0.500
Zr 0.677 0.823 0.500
Zr 0.823 0.323 0.500
Zr 0.323 0.177 0.500

Computed properties:
The energy relative to the elements is -472.8 meV/atom. The calculation puts the total DFT energy (no corrections) at -7.59 eV/atom. The total magnetic moment is 0.000 μB/cell.

***

19.
Zr4GaRe | GGA-PBE | optimized geometry

a b c (Å): 4.629 4.631 7.891
angles (deg): 72.92 72.94 60.01
Positions (direct):
Zr 0.629 0.629 0.113
Zr 0.371 0.371 0.887
Zr 0.121 0.121 0.637
Zr 0.879 0.879 0.363
Ga 0.500 0.500 0.500
Re 0.000 0.000 0.000

Computed properties:
The energy relative to the elements is -23.0 meV/atom. The calculation puts the total DFT energy (no corrections) at -8.30 eV/atom. The total magnetic moment is 0.000 μB/cell.

***

20.
ZrGaRe | GGA-PBE | optimized geometry

a b c (Å): 4.166 3.081 8.259
angles (deg): 79.25 90.00 90.00
Positions (direct):
Zr 0.250 0.116 0.768
Zr 0.750 0.884 0.232
Ga 0.250 0.453 0.093
Ga 0.750 0.547 0.907
Re 0.750 0.717 0.567
Re 0.250 0.283 0.433

Computed properties:
The energy relative to the elements is -181.2 meV/atom. The calculation puts the total DFT energy (no corrections) at -8.19 eV/atom. The total magnetic moment is 0.000 μB/cell.

***

21.
ZrGa3Re | GGA-PBE | optimized geometry

a b c (Å): 4.937 4.937 4.937
angles (deg): 90.00 90.00 90.00
Positions (direct):
Re 0.500 0.500 0.500
Ga 0.000 0.500 0.000
Ga 0.000 0.000 0.500
Ga 0.500 0.000 0.000
Zr 0.000 0.000 0.000

Computed properties:
The energy relative to the elements is 1753.9 meV/atom. The calculation puts the total DFT energy (no corrections) at -4.26 eV/atom. The total magnetic moment is 0.001 μB/cell.

***

22.
Zr2GaRe | GGA-PBE | optimized geometry

a b c (Å): 3.383 3.383 6.498
angles (deg): 90.00 90.00 90.00
Positions (direct):
Re 0.500 0.500 0.000
Ga 0.500 0.500 0.500
Zr 0.000 0.000 0.757
Zr 0.000 0.000 0.243

Computed properties:
The energy relative to the elements is -430.9 meV/atom. The calculation puts the total DFT energy (no corrections) at -8.57 eV/atom. The total magnetic moment is 0.000 μB/cell.

***

23.
ZrGaRe3 | GGA-PBE | optimized geometry

a b c (Å): 4.542 4.542 4.542
angles (deg): 90.00 90.00 90.00
Positions (direct):
Re 0.000 0.500 0.000
Re 0.000 0.000 0.500
Re 0.500 0.000 0.000
Ga 0.000 0.000 0.000
Zr 0.500 0.500 0.500

Computed properties:
Its relative energy among the computed polymorphs is 0.000 eV per formula unit. The energy relative to the elements is 1306.8 meV/atom. The calculation puts the total DFT energy (no corrections) at -8.48 eV/atom. The total magnetic moment is 0.001 μB/cell.

***

24.
Zr2GaRe2 | GGA-PBE | optimized geometry

a b c (Å): 6.612 6.612 4.368
angles (deg): 90.00 90.00 90.00
Positions (direct):
Re 0.372 0.872 0.000
Re 0.872 0.628 0.000
Re 0.628 0.128 0.000
Re 0.128 0.372 0.000
Ga 0.000 0.000 0.000
Ga 0.500 0.500 0.000
Zr 0.180 0.680 0.500
Zr 0.680 0.820 0.500
Zr 0.820 0.320 0.500
Zr 0.320 0.180 0.500

Computed properties:
The energy relative to the elements is -43.2 meV/atom. The calculation puts the total DFT energy (no corrections) at -9.05 eV/atom. The total magnetic moment is 0.000 μB/cell.

***

25.
ZrGaRe2 | GGA-PBE | optimized geometry

a b c (Å): 7.448 7.448 5.876
angles (deg): 50.67 50.67 90.00
Positions (direct):
Re 0.577 0.125 0.250
Re 0.173 0.625 0.250
Re 0.375 0.423 0.750
Re 0.875 0.827 0.750
Ga 0.500 0.500 0.000
Ga 0.250 0.750 0.500
Zr 0.000 0.000 0.000
Zr 0.750 0.250 0.500

Computed properties:
The energy relative to the elements is 664.1 meV/atom. The calculation puts the total DFT energy (no corrections) at -8.45 eV/atom. The total magnetic moment is 0.037 μB/cell.

***

26.
Zr2GaRe | GGA-PBE | optimized geometry

a b c (Å): 7.592 7.592 6.059
angles (deg): 51.20 51.20 90.00
Positions (direct):
Re 0.000 0.000 0.000
Re 0.750 0.250 0.500
Ga 0.500 0.500 0.000
Ga 0.250 0.750 0.500
Zr 0.655 0.125 0.250
Zr 0.095 0.625 0.250
Zr 0.375 0.345 0.750
Zr 0.875 0.905 0.750

Computed properties:
The energy relative to the elements is 273.6 meV/atom. The calculation puts the total DFT energy (no corrections) at -7.87 eV/atom. The total magnetic moment is 0.000 μB/cell.